[1]
LaTa2Be | PBE | relaxed

Geometry as extended XYZ:
```
8
Lattice="9.122 0.000 0.000 0.000 3.023 0.000 -0.899 0.000 6.091" Properties=species:S:1:pos:R:3 pbc="T T T"
La 0.000 0.000 0.000
La 4.561 1.512 0.000
Ta 1.306 0.000 3.969
Ta 3.774 0.000 2.819
Ta 5.867 1.512 3.969
Ta 8.335 1.512 2.819
Be 1.844 1.512 1.979
Be 6.405 0.000 1.979
```

total moment = 0.00 μB/f.u.
raw total energy = -7.61 eV per atom
crystal system = monoclinic
V = 167.98 Å³/cell
ΔH_f (0 K) = 45.9 kJ/mol of atoms


[2]
LaTaBe | PBE | relaxed

Geometry as extended XYZ:
```
3
Lattice="4.709 0.000 0.000 -2.355 4.078 0.000 0.000 0.000 3.217" Properties=species:S:1:pos:R:3 pbc="T T T"
La 0.000 0.000 0.000
Ta 2.355 1.359 1.608
Be 0.000 2.719 1.608
```

total moment = 0.00 μB/f.u.
raw total energy = -6.21 eV per atom
crystal system = hexagonal
V = 61.78 Å³/cell
energy above the most stable polymorph in this dataset = 0.264 eV per atom
ΔH_f (0 K) = 60.7 kJ/mol of atoms


[3]
LaTa3Be | PBE | relaxed

Geometry as extended XYZ:
```
5
Lattice="4.652 0.000 0.000 0.000 4.652 0.000 0.000 0.000 4.652" Properties=species:S:1:pos:R:3 pbc="T T T"
La 0.000 0.000 0.000
Ta 0.000 2.326 2.326
Ta 2.326 0.000 2.326
Ta 2.326 2.326 0.000
Be 2.326 2.326 2.326
```

total moment = 0.00 μB/f.u.
raw total energy = -8.07 eV per atom
crystal system = cubic
V = 100.68 Å³/cell
energy above the most stable polymorph in this dataset = 0.000 eV per atom
ΔH_f (0 K) = 74.2 kJ/mol of atoms


[4]
LaTaBe | PBE | relaxed

Geometry as extended XYZ:
```
6
Lattice="3.408 0.000 0.000 0.000 3.408 0.000 0.000 0.000 10.730" Properties=species:S:1:pos:R:3 pbc="T T T"
La 0.000 0.000 0.000
La 1.704 1.704 5.365
Ta 0.000 0.000 3.091
Ta 1.704 1.704 8.456
Be 0.000 0.000 7.715
Be 1.704 1.704 2.350
```

total moment = 0.00 μB/f.u.
raw total energy = -6.43 eV per atom
crystal system = tetragonal
V = 124.65 Å³/cell
energy above the most stable polymorph in this dataset = 0.045 eV per atom
ΔH_f (0 K) = 39.5 kJ/mol of atoms


[5]
LaTa2Be | PBE | relaxed

Geometry as extended XYZ:
```
8
Lattice="2.875 0.000 0.000 0.000 5.049 0.000 0.000 0.000 10.763" Properties=species:S:1:pos:R:3 pbc="T T T"
La 0.000 0.000 0.000
La 1.437 2.525 5.381
Ta 0.000 2.525 2.232
Ta 0.000 2.525 8.531
Ta 1.437 0.000 3.149
Ta 1.437 0.000 7.613
Be 0.000 0.000 5.381
Be 1.437 2.525 0.000
```

total moment = 0.00 μB/f.u.
raw total energy = -7.64 eV per atom
crystal system = orthorhombic
V = 156.22 Å³/cell
ΔH_f (0 K) = 43.8 kJ/mol of atoms


[6]
LaTa2Be | PBE | relaxed

Geometry as extended XYZ:
```
12
Lattice="3.141 0.000 0.000 -1.571 2.721 0.000 0.000 0.000 27.364" Properties=species:S:1:pos:R:3 pbc="T T T"
La 0.000 0.000 0.000
La 0.000 1.814 18.243
La 1.571 0.907 9.121
Ta 0.000 0.000 6.227
Ta 0.000 0.000 21.137
Ta 0.000 1.814 12.016
Ta 0.000 1.814 24.469
Ta 1.571 0.907 2.894
Ta 1.571 0.907 15.348
Be 0.000 0.000 13.682
Be 0.000 1.814 4.561
Be 1.571 0.907 22.803
```

total moment = 0.00 μB/f.u.
raw total energy = -7.47 eV per atom
crystal system = trigonal
V = 233.87 Å³/cell
ΔH_f (0 K) = 60.0 kJ/mol of atoms